Material: MgZn2O3
Method: DFT, SCAN
State: PBEsol geometry

Computed properties:
space-group type: No. 164
uncorrected formation energy: -12.03 eV per formula unit

POSCAR file:
```
MgZn2O3
1.0
-1.8064 -2.0776 1.2242
0.7310 -0.1702 -2.9180
5.8637 -4.0920 1.7075
Zn Mg O
2 1 3
Direct
0.6667 0.3333 0.3316
0.3333 0.6667 0.6684
0.0000 0.0000 0.0000
0.6667 0.3333 0.8385
0.3333 0.6667 0.1615
0.0000 0.0000 0.5000
```



Material: Mg2ScIn
Method: DFT, SCAN
State: PBEsol geometry

Computed properties:
space-group type: No. 123
formation energy: -32.66 kJ/mol of atoms

POSCAR file:
```
Mg2ScIn
1.0
4.3259 0.0000 0.0000
0.0000 4.3259 0.0000
0.0000 0.0000 4.5962
Sc Mg In
1 2 1
Direct
0.5000 0.5000 0.5000
0.0000 0.5000 0.0000
0.5000 0.0000 0.0000
0.0000 0.0000 0.5000
```



Material: Cr2FePt
Method: DFT, SCAN
State: PBEsol geometry

Computed properties:
space-group type: No. 99
formation energy: -7.57 kJ/mol of atoms

POSCAR file:
```
Cr2FePt
1.0
-1.5951 -2.1498 1.1281
2.1944 -0.6993 1.7703
-2.0687 3.6338 3.9997
Cr Fe Pt
2 1 1
Direct
0.0000 0.0000 0.0355
0.5000 0.5000 0.2489
0.0000 0.0000 0.4682
0.5000 0.5000 0.7474
```



Material: Nb3O7F
Method: DFT, SCAN
State: PBEsol geometry

Computed properties:
space-group type: No. 65
excess energy over the best structure of this formula in the dataset: 54 meV per atom
uncorrected formation energy: -29.86 eV per formula unit

POSCAR file:
```
Nb3O7F
1.0
3.8665 0.0000 0.0000
0.0000 3.9550 0.0000
-1.9333 0.0000 10.4640
Nb O F
3 7 1
Direct
0.1844 0.0000 0.3687
0.8156 0.0000 0.6313
0.0000 0.0000 0.0000
0.0930 0.0000 0.1860
0.1843 0.5000 0.3685
0.7100 0.0000 0.4200
0.2900 0.0000 0.5800
0.8157 0.5000 0.6315
0.9070 0.0000 0.8140
0.5000 0.0000 0.0000
0.0000 0.5000 0.0000
```



Material: Hf2CuPbC
Method: DFT, SCAN
State: PBEsol geometry

Computed properties:
space-group type: No. 123
formation energy: 223.80 kJ/mol of atoms

POSCAR file:
```
Hf2CuPbC
1.0
-2.4756 -2.7747 1.7717
4.2162 -3.2209 0.8468
0.8150 2.3225 4.7760
Pb C Hf Cu
1 1 2 1
Direct
0.0000 0.0000 0.0000
0.5000 0.0000 0.0000
0.0000 0.0000 0.5000
0.0000 0.5000 0.0000
0.5000 0.5000 0.5000
```



Material: Br2O
Method: DFT, SCAN
State: PBEsol geometry

Computed properties:
space-group type: No. 33
uncorrected formation energy: 0.53 eV per formula unit

POSCAR file:
```
Br2O
1.0
3.9449 0.0000 0.0000
0.0000 6.5580 0.0000
0.0000 0.0000 10.1084
Br O
8 4
Direct
0.6379 0.3232 0.5102
0.3621 0.8232 0.4898
0.8621 0.3232 0.0102
0.1379 0.8232 0.9898
0.0730 0.4925 0.2303
0.9270 0.9925 0.7697
0.4270 0.4925 0.7303
0.5730 0.9925 0.2697
0.3311 0.7062 0.1509
0.6689 0.2062 0.8491
0.1689 0.7062 0.6509
0.8311 0.2062 0.3491
```



Material: K3VS2O10
Method: DFT, SCAN
State: PBEsol geometry

Computed properties:
space-group type: No. 4
uncorrected formation energy: -34.05 eV per formula unit

POSCAR file:
```
K3VS2O10
1.0
-5.0684 -5.1225 0.5535
0.3730 -1.1540 -7.2635
6.7720 -6.2888 3.8096
K V S O
6 2 4 20
Direct
0.3871 0.4178 0.5915
0.8871 0.5822 0.4085
0.6506 0.0132 0.7333
0.1506 0.9868 0.2667
0.0837 0.2850 0.9494
0.5837 0.7150 0.0506
0.6562 0.2480 0.1470
0.1562 0.7520 0.8530
0.6838 0.0506 0.3454
0.1838 0.9494 0.6546
0.3499 0.4626 0.2547
0.8499 0.5374 0.7453
0.4066 0.3240 0.1159
0.9066 0.6760 0.8841
0.5210 0.4691 0.3387
0.0210 0.5309 0.6613
0.5156 0.0554 0.2584
0.0156 0.9446 0.7416
0.8100 0.1916 0.2944
0.3100 0.8084 0.7056
0.6472 0.1191 0.4917
0.1472 0.8809 0.5083
0.1885 0.9234 0.9890
0.6885 0.0766 0.0110
0.1956 0.3798 0.3142
0.6956 0.6202 0.6858
0.3029 0.6397 0.2231
0.8029 0.3603 0.7769
0.7751 0.8681 0.3083
0.2751 0.1319 0.6917
0.7876 0.4202 0.1251
0.2876 0.5798 0.8749
```



Material: InPtSN2
Method: DFT, SCAN
State: PBEsol geometry

Computed properties:
space-group type: No. 123
uncorrected formation energy: 4.33 eV per formula unit

POSCAR file:
```
InPtSN2
1.0
3.7151 0.0000 0.0000
0.0000 3.7151 0.0000
0.0000 0.0000 7.3832
S N Pt In
1 2 1 1
Direct
0.0000 0.0000 0.5000
0.0000 0.5000 0.0000
0.5000 0.0000 0.0000
0.0000 0.0000 0.0000
0.5000 0.5000 0.5000
```



Material: NiAu3
Method: DFT, SCAN
State: PBEsol geometry

Computed properties:
space-group type: No. 59
formation energy: 9.20 kJ/mol of atoms

POSCAR file:
```
NiAu3
1.0
-1.2994 -1.9620 -3.9833
0.4766 -4.3461 1.9853
-5.2906 0.1699 1.6422
Au Ni
6 2
Direct
0.5000 0.3446 0.0000
0.0000 0.1673 0.7515
0.5000 0.8327 0.7485
0.0000 0.6554 0.5000
0.0000 0.1673 0.2485
0.5000 0.8327 0.2515
0.0000 0.6669 0.0000
0.5000 0.3331 0.5000
```



Material: Co3TeRh
Method: DFT, SCAN
State: PBEsol geometry

Computed properties:
space-group type: No. 221
uncorrected formation energy: 7.00 eV per formula unit

POSCAR file:
```
Co3TeRh
1.0
-3.1843 2.0258 -2.4064
1.0012 -2.5934 -3.5080
-2.9820 -3.0340 1.3919
Co Te Rh
3 1 1
Direct
0.0000 0.5000 0.0000
0.0000 0.0000 0.5000
0.5000 0.0000 0.0000
0.0000 0.0000 0.0000
0.5000 0.5000 0.5000
```



Material: TaHgW2
Method: DFT, SCAN
State: PBEsol geometry

Computed properties:
space-group type: No. 216
formation energy: 57.36 kJ/mol of atoms

POSCAR file:
```
TaHgW2
1.0
-2.3582 -0.9092 -3.8222
0.8227 -3.8544 -2.3374
-3.1058 -3.3690 -0.0291
Hg Ta W
1 1 2
Direct
0.5000 0.5000 0.5000
0.7500 0.7500 0.7500
0.0000 0.0000 0.0000
0.2500 0.2500 0.2500
```



Material: ScCd2Hg
Method: DFT, SCAN
State: PBEsol geometry

Computed properties:
space-group type: No. 71
formation energy: -23.14 kJ/mol of atoms

POSCAR file:
```
ScCd2Hg
1.0
-3.3078 1.6278 0.0579
-0.2816 -0.7367 4.6282
3.9243 3.8530 -1.5292
Sc Hg Cd
1 1 2
Direct
0.5000 0.0000 0.0000
0.0000 0.5000 0.0000
0.7463 0.7463 0.4926
0.2537 0.2537 0.5074
```



no.,uncorrected energy (hartree per atom)
1,-0.38422
2,-0.54136
3,-1.15214
4,-0.58934
5,-1.57896
6,-0.54654
7,-0.36311
8,-0.93678
9,-2.05119
10,-0.85210
11,-2.49663
12,-1.32473